Record 1
# Tl2CoBiO6, relaxed, DFT PBE+U
# V	13.55	A^3/atom
# E	-5.13	eV per atom
# crystal system	trigonal
data_Tl2CoBiO6
_cell_length_a 5.637
_cell_length_b 5.637
_cell_length_c 5.903
_cell_angle_alpha 61.48
_cell_angle_beta 61.48
_cell_angle_gamma 60.00
_space_group_name_H-M_alt 'P 1'
_space_group_IT_number 1
_space_group_name_Hall 'P 1'
loop_
_atom_site_label
_atom_site_fract_x
_atom_site_fract_y
_atom_site_fract_z
Tl1 0.042 0.042 0.874
Bi1 0.306 0.306 0.082
O1 0.710 0.068 0.747
Tl2 0.526 0.526 0.422
O2 0.631 0.166 0.287
O3 0.166 0.916 0.287
Co1 0.822 0.822 0.535
O4 0.068 0.475 0.747
O5 0.475 0.710 0.747
O6 0.916 0.631 0.287

***

Record 2
# UCoBi2O8, relaxed, DFT PBE+U
# DOS(E_F)	3.5	states/eV per cell
# V	14.59	A^3/atom
# E	-6.99	eV per atom
# crystal system	orthorhombic
data_UCoBi2O8
_cell_length_a 5.056
_cell_length_b 5.054
_cell_length_c 6.853
_cell_angle_alpha 90.00
_cell_angle_beta 90.00
_cell_angle_gamma 91.69
_space_group_name_H-M_alt 'P 1'
_space_group_IT_number 1
_space_group_name_Hall 'P 1'
loop_
_atom_site_label
_atom_site_fract_x
_atom_site_fract_y
_atom_site_fract_z
O1 0.819 0.182 0.233
O2 0.819 0.182 0.767
O3 0.264 0.264 0.500
Bi1 0.500 0.500 0.260
O4 0.181 0.818 0.233
O5 0.696 0.696 0.000
O6 0.304 0.304 0.000
O7 0.736 0.736 0.500
U1 0.000 0.000 0.000
Co1 0.000 0.000 0.500
Bi2 0.500 0.500 0.740
O8 0.181 0.818 0.767

***

Record 3
# UCoBiO6, relaxed, DFT PBE+U
# V	13.62	A^3/atom
# E	-7.52	eV per atom
# crystal system	trigonal
data_UCoBiO6
_cell_length_a 5.261
_cell_length_b 5.261
_cell_length_c 10.231
_cell_angle_alpha 90.00
_cell_angle_beta 90.00
_cell_angle_gamma 120.00
_space_group_name_H-M_alt 'P 1'
_space_group_IT_number 1
_space_group_name_Hall 'P 1'
loop_
_atom_site_label
_atom_site_fract_x
_atom_site_fract_y
_atom_site_fract_z
Co1 0.333 0.667 0.750
O1 0.629 0.650 0.641
Co2 0.667 0.333 0.250
U1 0.667 0.333 0.750
O2 0.371 0.021 0.141
U2 0.333 0.667 0.250
O3 0.371 0.350 0.359
O4 0.629 0.979 0.859
O5 0.979 0.350 0.141
O6 0.021 0.371 0.641
O7 0.650 0.021 0.359
O8 0.650 0.629 0.141
O9 0.350 0.371 0.859
O10 0.021 0.650 0.859
O11 0.350 0.979 0.641
Bi1 0.000 0.000 0.000
Bi2 0.000 0.000 0.500
O12 0.979 0.629 0.359

***

Record 4
# VCoBi2O6, relaxed, DFT PBE+U
# V	11.83	A^3/atom
# E	-6.33	eV per atom
# crystal system	monoclinic
data_VCoBi2O6
_cell_length_a 5.392
_cell_length_b 5.665
_cell_length_c 7.748
_cell_angle_alpha 90.00
_cell_angle_beta 89.85
_cell_angle_gamma 90.00
_space_group_name_H-M_alt 'P 1'
_space_group_IT_number 1
_space_group_name_Hall 'P 1'
loop_
_atom_site_label
_atom_site_fract_x
_atom_site_fract_y
_atom_site_fract_z
O1 0.302 0.711 0.047
V1 0.500 0.000 0.500
O2 0.800 0.807 0.963
O3 0.198 0.211 0.453
O4 0.802 0.789 0.547
O5 0.698 0.289 0.953
V2 0.000 0.500 0.000
O6 0.588 0.028 0.245
Bi1 0.489 0.448 0.255
O7 0.088 0.472 0.745
O8 0.300 0.693 0.463
Co1 0.000 0.500 0.500
O9 0.412 0.972 0.755
Bi2 0.989 0.052 0.755
Bi3 0.011 0.948 0.245
Bi4 0.511 0.552 0.745
O10 0.912 0.528 0.255
O11 0.200 0.193 0.037
O12 0.700 0.307 0.537
Co2 0.500 0.000 0.000

***

Record 5
# CoBiWO5, relaxed, DFT PBE+U
# V	14.19	A^3/atom
# E	-6.65	eV per atom
# crystal system	monoclinic
data_CoBiWO5
_cell_length_a 5.910
_cell_length_b 5.910
_cell_length_c 7.633
_cell_angle_alpha 105.73
_cell_angle_beta 105.73
_cell_angle_gamma 106.93
_space_group_name_H-M_alt 'P 1'
_space_group_IT_number 1
_space_group_name_Hall 'P 1'
loop_
_atom_site_label
_atom_site_fract_x
_atom_site_fract_y
_atom_site_fract_z
O1 0.245 0.341 0.589
Co1 0.687 0.313 0.250
O2 0.108 0.691 0.915
O3 0.659 0.755 0.911
O4 0.075 0.925 0.250
O5 0.925 0.075 0.750
Co2 0.313 0.687 0.750
O6 0.309 0.892 0.585
O7 0.691 0.108 0.415
O8 0.341 0.245 0.089
O9 0.892 0.309 0.085
Bi1 0.689 0.311 0.750
W1 0.000 0.000 0.000
O10 0.755 0.659 0.411
Bi2 0.311 0.689 0.250
W2 0.000 0.000 0.500

***

Record 6
# ZnCoBi2O6, relaxed, DFT PBE+U
# DOS(E_F)	5.9	states/eV per cell
# V	12.26	A^3/atom
# E	-5.46	eV per atom
# crystal system	trigonal
data_ZnCoBi2O6
_cell_length_a 5.541
_cell_length_b 5.542
_cell_length_c 5.613
_cell_angle_alpha 60.42
_cell_angle_beta 60.42
_cell_angle_gamma 60.00
_space_group_name_H-M_alt 'P 1'
_space_group_IT_number 1
_space_group_name_Hall 'P 1'
loop_
_atom_site_label
_atom_site_fract_x
_atom_site_fract_y
_atom_site_fract_z
Co1 0.320 0.320 0.039
O1 0.468 0.646 0.777
O2 0.002 0.580 0.256
Bi1 0.539 0.539 0.383
Zn1 0.805 0.805 0.585
O3 0.161 0.002 0.256
Bi2 0.030 0.030 0.909
O4 0.646 0.110 0.777
O5 0.580 0.161 0.256
O6 0.110 0.468 0.777

***

Record 7
# ZrCo2BiO, relaxed, DFT PBE+U
# DOS(E_F)	3.7	states/eV per cell
# V	20.66	A^3/atom
# E	-4.65	eV per atom
# crystal system	tetragonal
data_ZrCo2BiO
_cell_length_a 4.903
_cell_length_b 4.297
_cell_length_c 4.903
_cell_angle_alpha 90.00
_cell_angle_beta 90.00
_cell_angle_gamma 90.00
_space_group_name_H-M_alt 'P 1'
_space_group_IT_number 1
_space_group_name_Hall 'P 1'
loop_
_atom_site_label
_atom_site_fract_x
_atom_site_fract_y
_atom_site_fract_z
Co1 0.000 0.000 0.500
Zr1 0.500 0.500 0.500
O1 0.000 0.500 0.000
Bi1 0.000 0.000 0.000
Co2 0.500 0.000 0.000